Entry 1:
This record from Alexandria describes a relaxed Cs2MgBi crystal. The functional is GGA-PBE.

Cell lengths 13.7692, 13.7692, 13.7692 Å; angles 157.49, 157.49, 32.05 degrees
Fractional coordinates of all 8 atoms:
Cs (0.1209, 0.6250, 0.9959)
Cs (0.3750, 0.3709, 0.4959)
Cs (0.6291, 0.1250, 0.0041)
Cs (0.8750, 0.8791, 0.5041)
Mg (0.0000, 0.0000, 0.0000)
Mg (0.7500, 0.2500, 0.5000)
Bi (0.2500, 0.7500, 0.5000)
Bi (0.5000, 0.5000, 0.0000)

## Properties
Crystal system: tetragonal
Spin magnetization in Bohr magnetons per cell: 0.00
Formation enthalpy at 0 K in meV per atom: 205

=====

Entry 2:
This record from Alexandria describes a relaxed CsMg2Bi2 crystal. The functional is GGA-PBE.

Cell lengths 7.8122, 7.8122, 7.8122 Å; angles 142.14, 142.14, 54.62 degrees
Fractional coordinates of all 5 atoms:
Cs (0.0000, 0.0000, 0.0000)
Mg (0.2500, 0.7500, 0.5000)
Mg (0.7500, 0.2500, 0.5000)
Bi (0.3687, 0.3687, 0.0000)
Bi (0.6313, 0.6313, 0.0000)

## Properties
Crystal system: tetragonal
Spin magnetization in Bohr magnetons per cell: 0.00
Formation enthalpy at 0 K in meV per atom: -353

=====

Entry 3:
This record from Alexandria describes a relaxed Cs3MgBi crystal. The functional is GGA-PBE.

Cell lengths 7.6270, 7.6270, 7.6270 Å; angles 90.00, 90.00, 90.00 degrees
Fractional coordinates of all 5 atoms:
Cs (0.0000, 0.0000, 0.5000)
Cs (0.0000, 0.5000, 0.0000)
Cs (0.5000, 0.0000, 0.0000)
Mg (0.5000, 0.5000, 0.5000)
Bi (0.0000, 0.0000, 0.0000)

## Properties
Crystal system: cubic
Spin magnetization in Bohr magnetons per cell: 0.00
Formation enthalpy at 0 K in meV per atom: 93

=====

Entry 4:
This record from Alexandria describes a relaxed CsMg14Bi crystal. The functional is GGA-PBE.

Cell lengths 6.6939, 6.6939, 10.7779 Å; angles 90.00, 90.00, 120.00 degrees
Fractional coordinates of all 16 atoms:
Cs (0.0000, 0.0000, 0.0000)
Mg (0.0103, 0.5051, 0.0000)
Mg (0.1760, 0.3521, 0.2653)
Mg (0.1760, 0.3521, 0.7347)
Mg (0.1760, 0.8240, 0.2653)
Mg (0.1760, 0.8240, 0.7347)
Mg (0.4949, 0.5051, 0.0000)
Mg (0.4949, 0.9897, 0.0000)
Mg (0.5064, 0.0129, 0.5000)
Mg (0.5064, 0.4936, 0.5000)
Mg (0.6479, 0.8240, 0.2653)
Mg (0.6479, 0.8240, 0.7347)
Mg (0.6667, 0.3333, 0.2440)
Mg (0.6667, 0.3333, 0.7560)
Mg (0.9871, 0.4936, 0.5000)
Bi (0.0000, 0.0000, 0.5000)

## Properties
Crystal system: hexagonal
Spin magnetization in Bohr magnetons per cell: 0.00
Formation enthalpy at 0 K in meV per atom: 149

=====

Entry 5:
This record from Alexandria describes a relaxed Cs2MgBi2 crystal. The functional is GGA-PBE.

Cell lengths 8.0777, 8.0777, 6.5379 Å; angles 90.00, 90.00, 90.00 degrees
Fractional coordinates of all 10 atoms:
Cs (0.1670, 0.3330, 0.0000)
Cs (0.3330, 0.8330, 0.0000)
Cs (0.6670, 0.1670, 0.0000)
Cs (0.8330, 0.6670, 0.0000)
Mg (0.0000, 0.0000, 0.5000)
Mg (0.5000, 0.5000, 0.5000)
Bi (0.1390, 0.6390, 0.5000)
Bi (0.3610, 0.1390, 0.5000)
Bi (0.6390, 0.8610, 0.5000)
Bi (0.8610, 0.3610, 0.5000)

## Properties
Crystal system: tetragonal
Spin magnetization in Bohr magnetons per cell: 0.00
Formation enthalpy at 0 K in meV per atom: -261

=====

Entry 6:
This record from Alexandria describes a relaxed CsMg2Bi2 crystal. The functional is GGA-PBE.

Cell lengths 4.4467, 4.4467, 9.4060 Å; angles 90.00, 90.00, 90.00 degrees
Fractional coordinates of all 5 atoms:
Cs (0.0000, 0.0000, 0.0000)
Mg (0.0000, 0.5000, 0.5000)
Mg (0.5000, 0.0000, 0.5000)
Bi (0.5000, 0.5000, 0.2786)
Bi (0.5000, 0.5000, 0.7214)

## Properties
Crystal system: tetragonal
Spin magnetization in Bohr magnetons per cell: 0.00
Formation enthalpy at 0 K in meV per atom: -157

=====

Entry 7:
This record from Alexandria describes a relaxed CsMgBi2 crystal. The functional is GGA-PBE.

Cell lengths 4.1702, 4.1702, 8.4158 Å; angles 90.00, 90.00, 90.00 degrees
Fractional coordinates of all 4 atoms:
Cs (0.0000, 0.0000, 0.0000)
Mg (0.0000, 0.0000, 0.5000)
Bi (0.5000, 0.5000, 0.3241)
Bi (0.5000, 0.5000, 0.6759)

## Properties
Crystal system: tetragonal
Spin magnetization in Bohr magnetons per cell: 0.00
Formation enthalpy at 0 K in meV per atom: -182

=====

Entry 8:
This record from Alexandria describes a relaxed CsMg2Bi2 crystal. The functional is GGA-PBE.

Cell lengths 9.4408, 9.4408, 3.5700 Å; angles 90.00, 90.00, 90.00 degrees
Fractional coordinates of all 10 atoms:
Cs (0.0000, 0.0000, 0.0000)
Cs (0.5000, 0.5000, 0.0000)
Mg (0.1233, 0.3767, 0.0000)
Mg (0.3767, 0.8767, 0.0000)
Mg (0.6233, 0.1233, 0.0000)
Mg (0.8767, 0.6233, 0.0000)
Bi (0.1617, 0.6617, 0.5000)
Bi (0.3383, 0.1617, 0.5000)
Bi (0.6617, 0.8383, 0.5000)
Bi (0.8383, 0.3383, 0.5000)

## Properties
Crystal system: tetragonal
Spin magnetization in Bohr magnetons per cell: 0.00
Formation enthalpy at 0 K in meV per atom: -203